! AlZnTc | OQMD via LeMat-Bulk | PBE-GGA | relaxed; values from VASP
&SYSTEM
  ibrav = 0, nat = 3, ntyp = 3
/
ATOMIC_SPECIES
Zn 65.41 Zn.upf
Al 26.98 Al.upf
Tc 98.00 Tc.upf
ATOMIC_POSITIONS crystal
Zn 0.750 0.750 0.750
Al 0.250 0.250 0.250
Tc 0.000 0.000 0.000
CELL_PARAMETERS angstrom
0.000 2.978 2.978
2.978 0.000 2.978
2.978 2.978 0.000
! Total DFT energy (no corrections) (eV per formula unit): -14.210
! Total moment (μB per cell): 1.10
! Space-group type: F-43m, No. 216


! NiSn2Pb | OQMD via LeMat-Bulk | PBE-GGA | relaxed; values from VASP
&SYSTEM
  ibrav = 0, nat = 4, ntyp = 3
/
ATOMIC_SPECIES
Ni 58.69 Ni.upf
Sn 118.71 Sn.upf
Pb 207.20 Pb.upf
ATOMIC_POSITIONS crystal
Ni 0.500 0.500 0.500
Sn 0.000 0.000 0.000
Sn 0.750 0.750 0.750
Pb 0.250 0.250 0.250
CELL_PARAMETERS angstrom
2.559 1.478 4.179
-2.559 1.478 4.179
0.000 -2.955 4.179
! Total DFT energy (no corrections) (eV per formula unit): -15.998
! Total moment (μB per cell): 0.00
! Space-group type: F-43m, No. 216


! SrInAgPd3 | OQMD via LeMat-Bulk | PBE-GGA | relaxed; values from VASP
&SYSTEM
  ibrav = 0, nat = 6, ntyp = 4
/
ATOMIC_SPECIES
Ag 107.87 Ag.upf
Pd 106.42 Pd.upf
Sr 87.62 Sr.upf
In 114.82 In.upf
ATOMIC_POSITIONS crystal
Ag 0.000 0.000 0.000
Pd 0.166 0.333 0.500
Pd 0.667 0.834 0.500
Sr 0.667 0.333 0.000
Pd 0.166 0.834 0.500
In 0.333 0.667 0.000
CELL_PARAMETERS angstrom
5.794 0.000 0.000
-2.897 5.018 0.000
0.000 0.000 4.323
! Total DFT energy (no corrections) (eV per formula unit): -25.779
! Space-group type: P-6m2, No. 187


! BeNb2Cd | OQMD via LeMat-Bulk | PBE-GGA | relaxed; values from VASP
&SYSTEM
  ibrav = 0, nat = 4, ntyp = 3
/
ATOMIC_SPECIES
Nb 92.91 Nb.upf
Cd 112.41 Cd.upf
Be 9.01 Be.upf
ATOMIC_POSITIONS crystal
Nb 0.750 0.750 0.750
Cd 0.250 0.250 0.250
Be 0.500 0.500 0.500
Nb 0.000 0.000 0.000
CELL_PARAMETERS angstrom
0.000 3.241 3.241
3.241 0.000 3.241
3.241 3.241 0.000
! Total DFT energy (no corrections) (eV per formula unit): -22.505
! Total moment (μB per cell): 0.74
! Space-group type: F-43m, No. 216


! TbLu2Cu4Ge4 | OQMD via LeMat-Bulk | PBE-GGA | relaxed; values from VASP
&SYSTEM
  ibrav = 0, nat = 11, ntyp = 4
/
ATOMIC_SPECIES
Ge 72.64 Ge.upf
Cu 63.55 Cu.upf
Lu 174.97 Lu.upf
Tb 158.93 Tb.upf
ATOMIC_POSITIONS crystal
Ge 0.311 0.500 0.811
Cu 0.978 0.670 0.308
Ge 0.782 0.782 0.000
Ge 0.689 0.500 0.189
Cu 0.022 0.330 0.692
Lu 0.371 0.871 0.500
Ge 0.218 0.218 0.000
Tb 0.000 0.000 0.000
Cu 0.362 0.670 0.692
Cu 0.638 0.330 0.308
Lu 0.629 0.129 0.500
CELL_PARAMETERS angstrom
-2.066 3.333 6.887
2.066 -3.333 6.887
2.066 3.333 -6.887
! Total DFT energy (no corrections) (eV per formula unit): -53.822
! Total moment (μB per cell): 0.00
! Space-group type: Immm, No. 71


! Sr2Pa2NO5 | OQMD via LeMat-Bulk | PBE-GGA | relaxed; values from VASP
&SYSTEM
  ibrav = 0, nat = 10, ntyp = 4
/
ATOMIC_SPECIES
O 16.00 O.upf
Sr 87.62 Sr.upf
Pa 231.04 Pa.upf
N 14.01 N.upf
ATOMIC_POSITIONS crystal
O 0.000 0.500 0.782
O 0.000 0.000 0.000
O 0.500 0.000 0.218
Sr 0.500 0.500 0.000
Pa 0.000 0.000 0.248
N 0.000 0.000 0.500
Pa 0.000 0.000 0.752
Sr 0.500 0.500 0.500
O 0.500 0.000 0.782
O 0.000 0.500 0.218
CELL_PARAMETERS angstrom
4.411 0.000 0.000
0.000 4.411 0.000
0.000 0.000 8.971
! Total DFT energy (no corrections) (eV per formula unit): -79.169
! Total moment (μB per cell): 1.00
! Space-group type: P4/mmm, No. 123